{"formula": "Y5As", "functional": "PBE", "state": "relaxed", "dos_at_fermi_per_ev_atom": 1.453, "formation_energy_ev_per_fu": 1.7, "vol_a3_per_atom": 31.40, "spacegroup": "F-43m (216)", "lattice": [[2.3202, -3.2729, 5.0310], [-2.3062, -5.8480, 1.3742], [3.6564, -5.2074, -0.9589]], "species": ["Y", "Y", "Y", "Y", "Y", "As"], "frac_coords": [[0.6240, 0.1279, 0.6240], [0.6240, 0.6240, 0.6240], [0.1279, 0.6240, 0.6240], [0.6240, 0.6240, 0.1279], [0.2500, 0.2500, 0.2500], [0.0000, 0.0000, 0.0000]]}

{"formula": "Sr2TeCl", "functional": "PBE", "state": "relaxed", "dos_at_fermi_per_ev_atom": 0.667, "vol_a3_per_atom": 33.57, "de_polymorph_ev_per_atom": 0.824, "spacegroup": "F-43m (216)", "raw_formation_energy_ev_per_atom": -0.83, "lattice": [[5.7481, 0.0000, 0.0000], [2.8741, 4.9780, 0.0000], [2.8741, 1.6593, 4.6933]], "species": ["Cl", "Sr", "Sr", "Te"], "frac_coords": [[0.5000, 0.5000, 0.5000], [0.2500, 0.2500, 0.2500], [0.0000, 0.0000, 0.0000], [0.7500, 0.7500, 0.7500]]}

{"formula": "ScOs2Au", "functional": "PBE", "state": "relaxed", "dos_at_fermi_per_ev_atom": 0.796, "formation_energy_ev_per_fu": 0.8, "vol_a3_per_atom": 16.17, "de_polymorph_ev_per_atom": 0.295, "spacegroup": "Cmmm (65)", "lattice": [[-4.4450, 0.2172, 1.7771], [3.0829, -0.5966, 3.6198], [0.2528, 2.9527, 0.2714]], "species": ["Au", "Os", "Os", "Sc"], "frac_coords": [[0.0000, 0.5000, 0.5000], [0.5000, 0.5000, 0.0000], [0.0000, 0.0000, 0.0000], [0.5000, 0.0000, 0.5000]]}